ThAlGaGe2 | PBE-GGA | optimized geometry

Computed properties:
The total DFT energy (no corrections) is -99.38 eV for the cell shown. The value obtained for the density of states at the Fermi level is 7.4 states/eV/cell. The calculation puts the formation energy at -0.284 eV/atom.

Structure (CIF):
```
data_ThAlGaGe2
_space_group_name_H-M_alt 'C 1 2/m 1'
_space_group_IT_number 12
_cell_length_a 11.680
_cell_length_b 4.268
_cell_length_c 8.863
_cell_angle_alpha 90.00
_cell_angle_beta 102.40
_cell_angle_gamma 90.00
loop_
_space_group_symop_operation_xyz
'x,y,z'
'-x,-y,-z'
'-x,y,-z'
'x,-y,z'
'x+1/2,y+1/2,z'
'-x+1/2,-y+1/2,-z'
'-x+1/2,y+1/2,-z'
'x+1/2,-y+1/2,z'
loop_
_atom_site_label
_atom_site_type_symbol
_atom_site_fract_x
_atom_site_fract_y
_atom_site_fract_z
_atom_site_occupancy
Th1 Th 0.168 0.000 0.192 1
Al1 Al 0.044 0.500 0.880 1
Ga1 Ga 0.173 0.000 0.567 1
Ge1 Ge 0.091 0.500 0.424 1
Ge2 Ge 0.141 0.000 0.841 1
```